DFT (PBE) results for DyLu4Th after structural relaxation.

Geometry as CIF:
```
data_DyLu4Th
_chemical_formula_sum 'Dy1 Lu4 Th1'
_symmetry_space_group_name_H-M 'P 1'
_symmetry_Int_Tables_number 1
_symmetry_space_group_name_Hall 'P 1'
_cell_length_a 6.4625
_cell_length_b 6.4625
_cell_length_c 6.4625
_cell_angle_alpha 60.00
_cell_angle_beta 60.00
_cell_angle_gamma 60.00
loop_
_atom_site_label
_atom_site_fract_x
_atom_site_fract_y
_atom_site_fract_z
_atom_site_occupancy
Dy1 0.0000 0.0000 0.0000 1
Lu1 0.3749 0.3749 0.3749 1
Lu2 0.3749 0.3749 0.8753 1
Lu3 0.3749 0.8753 0.3749 1
Lu4 0.8753 0.3749 0.3749 1
Th1 0.7500 0.7500 0.7500 1
```

Values from the calculation:
ΔE_f in eV/atom: 0.325
Uncorrected energy in eV per atom: -4.693

=====

DFT (PBE) results for DyLuTh after structural relaxation.

Geometry as CIF:
```
data_DyLuTh
_chemical_formula_sum 'Dy1 Lu1 Th1'
_symmetry_space_group_name_H-M 'P 1'
_symmetry_Int_Tables_number 1
_symmetry_space_group_name_Hall 'P 1'
_cell_length_a 3.5497
_cell_length_b 3.5497
_cell_length_c 8.5577
_cell_angle_alpha 90.00
_cell_angle_beta 90.00
_cell_angle_gamma 120.00
loop_
_atom_site_label
_atom_site_fract_x
_atom_site_fract_y
_atom_site_fract_z
_atom_site_occupancy
Dy1 0.0000 0.0000 0.0000 1
Lu1 0.3333 0.6667 0.6587 1
Th1 0.6667 0.3333 0.3323 1
```

Values from the calculation:
ΔE_f in eV/atom: 0.021
Uncorrected energy in eV per atom: -5.493